No. 1
PuIn2Sn | GGA-PBE | optimized geometry

```
PuIn2Sn
1.0
3.874 0.000 0.000
0.000 3.874 0.000
0.000 0.000 7.042
Pu In Sn
1 2 1
Direct
0.000 0.000 0.000
0.500 0.500 0.272
0.500 0.500 0.728
0.000 0.000 0.500
```

## Properties
Distance to the lowest polymorph of the same formula: 0.212 eV per atom
Size of the total moment: 6.13 μB per formula unit
ΔE_f: -0.34 eV per formula unit

***

No. 2
PuIn6Sn | GGA-PBE | optimized geometry

```
PuIn6Sn
1.0
6.963 0.000 0.000
0.000 6.963 0.000
0.000 0.000 4.352
Pu In Sn
1 6 1
Direct
0.000 0.000 0.000
0.000 0.500 0.000
0.255 0.255 0.500
0.255 0.745 0.500
0.500 0.000 0.000
0.745 0.255 0.500
0.745 0.745 0.500
0.500 0.500 0.000
```

## Properties
Size of the total moment: 6.21 μB per formula unit
ΔE_f: -0.44 eV per formula unit